# 1
This record from Alexandria describes a relaxed ErUCo4 crystal. The functional is PBE-GGA.

Calculated values
Formation energy, eV per atom: -0.16
Calculated density, kg/m3: 12308
Total moment, μB per atom: 0.047
Offset from the most stable computed form, meV per atom: 0
D(E_F), states/eV/cell: 10.055

Cell and atoms, written as POSCAR:
```
ErUCo4
1.0
0.000 3.510 3.510
3.510 0.000 3.510
3.510 3.510 0.000
Er U Co
1 1 4
Cartesian
0.000 0.000 0.000
1.755 1.755 1.755
4.386 2.634 2.634
2.634 4.386 2.634
2.634 2.634 4.386
4.386 4.386 4.386
```


# 2
This record from Alexandria describes a relaxed KRb2TeS4 crystal. The functional is PBE-GGA.

Calculated values
Calculated density, kg/m3: 2215
Total moment, μB per atom: 0.000
Raw formation energy, kJ/mol of formula units: -406.0
D(E_F), states/eV/cell: 8.282

Cell and atoms, written as POSCAR:
```
KRb2TeS4
1.0
0.000 6.925 14.078
3.583 0.000 14.078
3.583 6.925 0.000
K Rb Te S
2 4 2 8
Cartesian
0.896 1.731 3.520
6.270 12.118 24.637
2.687 5.194 2.010
4.479 8.656 9.049
2.687 5.194 19.107
4.479 8.656 26.147
2.687 5.194 10.559
4.479 8.656 17.598
4.026 3.606 9.251
4.026 6.782 11.866
5.818 7.068 18.905
1.348 3.606 11.866
5.818 10.244 16.290
1.348 6.782 9.251
3.140 7.068 16.290
3.140 10.244 18.905
```


Question: Number 1 is which compound?
Answer: ErUCo4